Below is a geometry-optimized LaNd4H10 structure, with properties calculated at the PBE-GGA level.

Values from the calculation:
Volume ... 208.6 Å³/f.u.
Uncorrected energy ... -67.22 eV for the cell shown
Theoretical density ... 5.78 g/cm³
Space group ... R-3m, No. 166

Cell lengths 16.0716, 16.0716, 16.0716 Å; angles 13.90, 13.90, 13.90 degrees
Element x y z (fractional)
La 0.0000 0.0000 0.0000
Nd 0.1997 0.1997 0.1997
Nd 0.4009 0.4009 0.4009
Nd 0.5991 0.5991 0.5991
Nd 0.8003 0.8003 0.8003
H 0.0512 0.0512 0.0512
H 0.1500 0.1500 0.1500
H 0.2493 0.2493 0.2493
H 0.3515 0.3515 0.3515
H 0.4506 0.4506 0.4506
H 0.5494 0.5494 0.5494
H 0.6485 0.6485 0.6485
H 0.7507 0.7507 0.7507
H 0.8500 0.8500 0.8500
H 0.9488 0.9488 0.9488